Here is an optimized crystal structure of Sm3Si3Ag2 from the Alexandria database. Energies are from PBE.

The crystal system is orthorhombic. The uncorrected formation energy comes out at -587 meV/atom. The calculation puts the electronic total energy at -5.10 eV per atom.

It has space group Cmcm (No. 63), with a = 4.324 Å, b = 11.163 Å, c = 14.367 Å, α = 90.00°, β = 90.00° and γ = 90.00°. The distinct sites, in fractional coordinates, are Sm at (0.000, 0.076, 0.117), Sm at (0.000, 0.361, 0.250), Si at (0.000, 0.336, 0.750), Si at (0.000, 0.407, 0.043) and Ag at (0.000, 0.217, 0.581).